# TmLuNiPd

Crystalline TmLuNiPd at its relaxed geometry (PBE, the Alexandria database).

Output
Formation energy   -0.70 eV per atom
Calculated volume   19.53 Å³/atom
Final energy   -5.691 eV/atom

Structure (POSCAR):
```
TmLuNiPd
1.0
0.000 3.393 3.393
3.393 0.000 3.393
3.393 3.393 0.000
Tm Lu Ni Pd
1 1 1 1
Direct
0.000 0.000 0.000
0.500 0.500 0.500
0.750 0.750 0.750
0.250 0.250 0.250
```

---

# LuZrNiPd

Crystalline LuZrNiPd at its relaxed geometry (PBE, the Alexandria database).

Output
Formation energy   -0.56 eV per atom
Calculated volume   18.52 Å³/atom
Final energy   -6.568 eV/atom

Structure (POSCAR):
```
LuZrNiPd
1.0
0.000 3.333 3.333
3.333 0.000 3.333
3.333 3.333 0.000
Lu Zr Ni Pd
1 1 1 1
Direct
0.000 0.000 0.000
0.500 0.500 0.500
0.250 0.250 0.250
0.750 0.750 0.750
```

---

# PmLu2Ni

Crystalline PmLu2Ni at its relaxed geometry (PBE, the Alexandria database).

Output
Formation energy   -0.23 eV per atom
Calculated volume   24.71 Å³/atom
Final energy   -5.120 eV/atom

Structure (POSCAR):
```
PmLu2Ni
1.0
3.382 0.000 0.000
0.000 3.382 0.000
0.000 0.000 8.645
Pm Lu Ni
1 2 1
Direct
0.000 0.000 0.000
0.500 0.500 0.318
0.500 0.500 0.682
0.000 0.000 0.500
```

---

# PmLuNi2

Crystalline PmLuNi2 at its relaxed geometry (PBE, the Alexandria database).

Output
Distance to the lowest polymorph of the same formula   0.010 eV per formula unit
Formation energy   -0.35 eV per atom
Calculated volume   19.45 Å³/atom
Final energy   -5.563 eV/atom

Structure (POSCAR):
```
PmLuNi2
1.0
0.000 3.388 3.388
3.388 0.000 3.388
3.388 3.388 0.000
Pm Lu Ni
1 1 2
Direct
0.000 0.000 0.000
0.500 0.500 0.500
0.250 0.250 0.250
0.750 0.750 0.750
```

---

# PmLuNi2

Crystalline PmLuNi2 at its relaxed geometry (PBE, the Alexandria database).

Output
Distance to the lowest polymorph of the same formula   0.000 eV per formula unit
Formation energy   -0.36 eV per atom
Calculated volume   19.37 Å³/atom
Final energy   -5.566 eV/atom

Structure (POSCAR):
```
PmLuNi2
1.0
3.392 0.000 0.000
0.000 3.392 0.000
0.000 0.000 6.735
Pm Lu Ni
1 1 2
Direct
0.000 0.000 0.000
0.000 0.000 0.500
0.500 0.500 0.272
0.500 0.500 0.728
```

---

# PmLuNiRh

Crystalline PmLuNiRh at its relaxed geometry (PBE, the Alexandria database).

Output
Formation energy   -0.58 eV per atom
Calculated volume   20.05 Å³/atom
Final energy   -6.186 eV/atom

Structure (POSCAR):
```
PmLuNiRh
1.0
0.000 3.423 3.423
3.423 0.000 3.423
3.423 3.423 0.000
Pm Lu Ni Rh
1 1 1 1
Direct
0.000 0.000 0.000
0.500 0.500 0.500
0.750 0.750 0.750
0.250 0.250 0.250
```

---

# PmLuNiSn

Crystalline PmLuNiSn at its relaxed geometry (PBE, the Alexandria database).

Output
Formation energy   -0.41 eV per atom
Calculated volume   23.69 Å³/atom
Final energy   -5.169 eV/atom

Structure (POSCAR):
```
PmLuNiSn
1.0
0.000 3.619 3.619
3.619 0.000 3.619
3.619 3.619 0.000
Pm Lu Ni Sn
1 1 1 1
Direct
0.000 0.000 0.000
0.500 0.500 0.500
0.250 0.250 0.250
0.750 0.750 0.750
```

---

# PmLuTcNi

Crystalline PmLuTcNi at its relaxed geometry (PBE, the Alexandria database).

Output
Formation energy   -0.08 eV per atom
Calculated volume   19.77 Å³/atom
Final energy   -6.431 eV/atom

Structure (POSCAR):
```
PmLuTcNi
1.0
0.000 3.407 3.407
3.407 0.000 3.407
3.407 3.407 0.000
Pm Lu Tc Ni
1 1 1 1
Direct
0.000 0.000 0.000
0.500 0.500 0.500
0.750 0.750 0.750
0.250 0.250 0.250
```